{
  "formula": "Tl2CrCo",
  "functional": "GGA-PBE",
  "state": "relaxed",
  "dos_at_fermi_per_ev_cell": 3.33,
  "total_magnetization_mub_per_fu": 3.95,
  "vol_a3_per_cell": 79,
  "delta_e_f_ev_per_atom": 0.593,
  "energy_ev_per_atom": -4.772,
  "lattice": [[-1.1330, 5.4808, 3.0732], [-4.3778, 4.5102, -1.1228], [1.7159, -6.0121, 1.2953]],
  "species": ["Co", "Cr", "Tl", "Tl"],
  "frac_coords": [[0.4858, 0.4858, 0.0000], [0.3171, 0.8171, 0.5000], [0.9916, 0.9916, 0.0000], [0.7055, 0.2055, 0.5000]]
}